1.
Crystalline Tb16Dy7Sc6 at its relaxed geometry, computed with GGA-PBE.

The structure in POSCAR format:
```
Tb16Dy7Sc6
1.0
9.500 0.000 5.485
3.167 8.957 5.485
0.000 0.000 10.970
Tb Dy Sc
16 7 6
direct
0.875 0.875 0.374 Tb
0.875 0.875 0.875 Tb
0.875 0.374 0.875 Tb
0.374 0.875 0.875 Tb
0.125 0.125 0.125 Tb
0.125 0.125 0.626 Tb
0.125 0.626 0.125 Tb
0.626 0.125 0.125 Tb
0.644 0.644 0.067 Tb
0.644 0.644 0.644 Tb
0.644 0.067 0.644 Tb
0.067 0.644 0.644 Tb
0.356 0.356 0.356 Tb
0.356 0.356 0.933 Tb
0.356 0.933 0.356 Tb
0.933 0.356 0.356 Tb
0.000 0.000 0.000 Dy
0.500 0.000 0.500 Dy
0.000 0.500 0.000 Dy
0.000 0.500 0.500 Dy
0.500 0.000 0.000 Dy
0.000 0.000 0.500 Dy
0.500 0.500 0.000 Dy
0.257 0.743 0.257 Sc
0.743 0.257 0.743 Sc
0.743 0.257 0.257 Sc
0.257 0.743 0.743 Sc
0.743 0.743 0.257 Sc
0.257 0.257 0.743 Sc
```

2.
Crystalline Tb8Dy2Sc at its relaxed geometry, computed with GGA-PBE.

The structure in POSCAR format:
```
Tb8Dy2Sc
1.0
-3.389 -4.316 3.256
0.091 2.423 8.923
-5.497 4.528 5.898
Tb Dy Sc
8 2 1
direct
0.301 0.337 0.862 Tb
0.699 0.138 0.663 Tb
0.319 0.797 0.797 Tb
0.681 0.203 0.203 Tb
0.301 0.862 0.337 Tb
0.699 0.663 0.138 Tb
0.753 0.563 0.563 Tb
0.247 0.437 0.437 Tb
0.888 0.721 0.721 Dy
0.112 0.279 0.279 Dy
0.000 0.000 0.000 Sc
```

## Properties
Energy relative to the lowest polymorph listed for this composition   24.8 meV per atom

Number 1: E_form 0.27 eV per atom, calculated volume 32.2 A^3/atom. Number 2: E_form 0.20 eV per atom, calculated volume 31.6 A^3/atom.